Entry 1:
4
Lattice="2.169 1.252 5.885 -2.169 1.252 5.885 0.000 -2.505 5.885" Properties=species:S:1:pos:R:3 comment="SmSc2Ni GGA-PBE relaxed" volume_a3_per_atom=23.98 energy_ev_per_atom=-5.85 de_polymorph_ev_per_atom=0.169 space_group=R3m magmom_total_mub_per_fu=0.00 pbc="T T T"
Sm 0.000 0.000 0.000
Sc 0.000 0.000 3.750
Sc 0.000 0.000 7.959
Ni 0.000 0.000 14.516

=====

Entry 2:
12
Lattice="1.759 -5.982 0.000 1.759 5.982 0.000 0.000 0.000 8.619" Properties=species:S:1:pos:R:3 comment="BaLiNpN3 GGA-PBE relaxed" volume_a3_per_atom=15.11 energy_ev_per_atom=-7.89 e_form_raw_kj_per_mol_fu=-541 space_group=Cmcm magmom_total_mub_per_fu=1.00 pbc="T T T"
Ba 1.759 3.223 6.464
Ba 1.759 -3.223 2.155
Li 1.759 5.536 2.155
Li 1.759 -5.536 6.464
Np 1.759 0.000 0.000
Np 1.759 0.000 4.309
N 1.759 4.712 0.358
N 1.759 4.712 3.952
N 1.759 0.538 2.155
N 1.759 -0.538 6.464
N 1.759 -4.712 4.667
N 1.759 -4.712 8.261

=====

Entry 3:
10
Lattice="4.364 0.000 0.000 0.000 4.364 0.000 0.000 0.000 9.915" Properties=species:S:1:pos:R:3 comment="La2BeAs4Ir3 GGA-PBE relaxed" volume_a3_per_atom=18.88 energy_ev_per_atom=-6.60 space_group=P-4m2 magmom_total_mub_per_fu=0.00 pbc="T T T"
La 0.000 2.182 2.458
La 2.182 0.000 7.457
Be 0.000 0.000 4.958
As 0.000 0.000 0.000
As 0.000 2.182 6.240
As 2.182 0.000 3.676
As 2.182 2.182 0.000
Ir 0.000 2.182 8.732
Ir 2.182 0.000 1.183
Ir 2.182 2.182 4.958

=====

Entry 4:
12
Lattice="3.465 -6.001 0.000 3.465 6.001 0.000 -2.310 0.000 7.978" Properties=species:S:1:pos:R:3 comment="Cs3PuSc2S6 GGA-PBE relaxed" volume_a3_per_atom=27.65 energy_ev_per_atom=-6.14 e_form_raw_kj_per_mol_fu=-1866 space_group=C2/m magmom_total_mub_per_fu=5.00 pbc="T T T"
Cs 0.000 0.000 0.000
Cs 3.465 1.989 0.000
Cs 3.465 -1.989 0.000
Pu 2.310 0.000 3.989
Sc 2.310 4.000 3.989
Sc 2.310 -4.000 3.989
S 1.104 2.088 2.590
S -0.102 0.000 5.384
S 1.104 -2.088 2.590
S 3.516 2.088 5.389
S 4.722 0.000 2.594
S 3.516 -2.088 5.389

=====

Entry 5:
4
Lattice="4.649 -1.592 0.000 4.649 1.592 0.000 -2.425 0.000 10.424" Properties=species:S:1:pos:R:3 comment="K2ZrRe GGA-PBE relaxed" volume_a3_per_atom=38.57 energy_ev_per_atom=-4.95 de_polymorph_ev_per_atom=0.197 space_group=Cm magmom_total_mub_per_fu=0.00 pbc="T T T"
K 0.000 0.000 0.000
K -0.015 0.000 6.215
Zr 6.943 0.000 3.107
Re 4.327 0.000 3.105

=====

Entry 6:
7
Lattice="4.841 0.000 0.000 -2.421 4.193 0.000 0.000 0.000 9.846" Properties=species:S:1:pos:R:3 comment="Li2Hg2BiPb2 GGA-PBE relaxed" volume_a3_per_atom=28.55 energy_ev_per_atom=-2.38 space_group=P-3m1 magmom_total_mub_per_fu=0.00 pbc="T T T"
Li 0.000 2.795 3.644
Li 2.421 1.398 6.202
Hg 0.000 2.795 7.069
Hg 2.421 1.398 2.778
Bi 0.000 0.000 4.923
Pb 0.000 0.000 1.595
Pb 0.000 0.000 8.251

=====

Entry 7:
15
Lattice="7.298 -3.855 0.000 7.298 3.855 0.000 -4.462 0.000 6.740" Properties=species:S:1:pos:R:3 comment="Na3TmTe3S8 GGA-PBE relaxed" volume_a3_per_atom=25.28 energy_ev_per_atom=-4.02 e_form_raw_kj_per_mol_fu=-914 space_group=C2/m magmom_total_mub_per_fu=0.00 pbc="T T T"
Na 0.000 0.000 0.000
Na 3.649 1.928 0.000
Na 3.649 -1.928 0.000
Tm -2.231 0.000 3.370
Te 1.418 1.928 3.370
Te 1.418 -1.928 3.370
Te 5.067 0.000 3.370
S 2.166 0.000 1.708
S 0.154 0.000 4.826
S 3.834 1.884 4.760
S 6.300 1.884 1.980
S 3.834 -1.884 4.760
S 6.300 -1.884 1.980
S 9.979 0.000 1.914
S 7.968 0.000 5.032

=====

Entry 8:
4
Lattice="-2.073 2.073 4.622 2.073 -2.073 4.622 2.073 2.073 -4.622" Properties=species:S:1:pos:R:3 comment="Li2CaP GGA-PBE relaxed" volume_a3_per_atom=19.86 energy_ev_per_atom=-3.22 space_group=I4/mmm magmom_total_mub_per_fu=0.00 pbc="T T T"
Li 2.073 0.000 2.311
Li 0.000 2.073 2.311
Ca 0.000 0.000 0.000
P 0.000 0.000 4.622

=====

Entry 9:
4
Lattice="1.880 -2.673 0.000 1.880 2.673 0.000 0.000 0.000 10.432" Properties=species:S:1:pos:R:3 comment="Y2ReBr GGA-PBE relaxed" volume_a3_per_atom=26.22 energy_ev_per_atom=-6.37 de_polymorph_ev_per_atom=0.873 e_form_raw_kj_per_mol_fu=151 space_group=Cmm2 magmom_total_mub_per_fu=0.00 pbc="T T T"
Y 0.000 0.000 0.000
Y 1.880 0.000 3.108
Re 1.880 0.000 8.439
Br 0.000 0.000 5.199

=====

Entry 10:
7
Lattice="-1.988 1.988 6.685 1.988 -1.988 6.685 1.988 1.988 -6.685" Properties=species:S:1:pos:R:3 comment="Ti4Tc2N GGA-PBE relaxed" volume_a3_per_atom=15.10 energy_ev_per_atom=-9.01 e_form_raw_kj_per_mol_fu=-235 space_group=I4/mmm magmom_total_mub_per_fu=0.00 pbc="T T T"
Ti 1.988 0.000 0.000
Ti 0.000 0.000 2.177
Ti 0.000 1.988 0.000
Ti 0.000 0.000 11.193
Tc 0.000 0.000 4.740
Tc 0.000 0.000 8.631
N 0.000 0.000 0.000

=====

Entry 11:
6
Lattice="0.000 3.347 3.347 3.347 0.000 3.347 3.347 3.347 0.000" Properties=species:S:1:pos:R:3 comment="CrNi4As GGA-PBE relaxed" volume_a3_per_atom=12.50 energy_ev_per_atom=-6.08 space_group=F-43m magmom_total_mub_per_fu=4.16 pbc="T T T"
Cr 0.000 0.000 0.000
Ni 2.509 2.509 2.509
Ni 4.186 4.186 2.509
Ni 4.186 2.509 4.186
Ni 2.509 4.186 4.186
As 5.021 5.021 5.021

=====

Entry 12:
8
Lattice="3.418 1.974 6.345 -3.418 1.974 6.345 0.000 -3.947 6.345" Properties=species:S:1:pos:R:3 comment="AcRhBr6 GGA-PBE relaxed" volume_a3_per_atom=32.11 energy_ev_per_atom=-3.78 e_form_raw_kj_per_mol_fu=-842 space_group=R-3 magmom_total_mub_per_fu=0.00 pbc="T T T"
Ac 0.000 0.000 0.000
Rh 0.000 0.000 9.518
Br -2.057 -0.190 8.072
Br -0.864 -1.876 10.965
Br 1.193 -1.686 8.072
Br -1.193 1.686 10.965
Br 0.864 1.876 8.072
Br 2.057 0.190 10.965